1.
Below is TcNi2Te at its PBEsol-relaxed geometry, with properties calculated at the meta-GGA SCAN level.

Results
* raw formation energy: 0.242 eV per atom
* uncorrected energy: -25.92 eV per atom
* mass density: 10.5 Mg/m³

Unit cell a=3.767 b=3.797 c=3.797 alpha=90.00 beta=90.00 gamma=90.00
Fractional coordinates of all 4 atoms:
Ni: 0.000 0.000 0.500
Ni: 0.000 0.500 0.000
Tc: 0.500 0.500 0.500
Te: 0.500 0.000 0.000



2.
Below is HfMn2H at its PBEsol-relaxed geometry, with properties calculated at the meta-GGA SCAN level.

Results
* uncorrected energy: -24.96 eV per atom
* mass density: 9.6 Mg/m³

Unit cell a=4.139 b=4.139 c=4.139 alpha=60.00 beta=60.00 gamma=60.00
Each line ends with the local moment (μB).
Fractional coordinates of all 4 atoms:
H: 0.000 0.000 0.000  0.00
Mn: 0.250 0.250 0.250  2.77
Mn: 0.750 0.750 0.750  2.77
Hf: 0.500 0.500 0.500  -0.69



3.
Below is KAlCo2 at its PBEsol-relaxed geometry, with properties calculated at the meta-GGA SCAN level.

Results
* formation enthalpy at 0 K: 0.87 eV/atom
* uncorrected energy: -11.80 eV per atom
* mass density: 4.9 Mg/m³

Unit cell a=2.643 b=4.844 c=4.844 alpha=90.23 beta=90.00 gamma=90.00
Each line ends with the local moment (μB).
Fractional coordinates of all 4 atoms:
K: 0.500 0.000 0.000  -0.02
Co: 0.000 0.500 0.000  1.65
Co: 0.000 0.000 0.500  1.65
Al: 0.500 0.500 0.500  -0.03



4.
Below is RbAlAgF6 at its PBEsol-relaxed geometry, with properties calculated at the meta-GGA SCAN level.

Results
* raw formation energy: -2.825 eV per atom
* uncorrected energy: -11.84 eV per atom
* mass density: 4.3 Mg/m³

Unit cell a=7.181 b=7.173 c=10.056 alpha=90.00 beta=90.00 gamma=90.00
Fractional coordinates of all 36 atoms:
Rb: 0.037 0.250 0.625
Rb: 0.963 0.750 0.375
Rb: 0.463 0.750 0.125
Rb: 0.537 0.250 0.875
Al: 0.000 0.000 0.000
Al: 0.500 0.000 0.500
Al: 0.000 0.500 0.000
Al: 0.500 0.500 0.500
Ag: 0.192 0.250 0.256
Ag: 0.808 0.750 0.744
Ag: 0.308 0.750 0.756
Ag: 0.692 0.250 0.244
F: 0.276 0.038 0.423
F: 0.724 0.962 0.577
F: 0.224 0.962 0.923
F: 0.724 0.538 0.577
F: 0.776 0.038 0.077
F: 0.276 0.462 0.423
F: 0.776 0.462 0.077
F: 0.224 0.538 0.923
F: 0.554 0.250 0.492
F: 0.446 0.750 0.508
F: 0.946 0.750 0.992
F: 0.054 0.250 0.008
F: 0.108 0.530 0.161
F: 0.892 0.470 0.839
F: 0.392 0.470 0.661
F: 0.892 0.030 0.839
F: 0.608 0.530 0.339
F: 0.108 0.970 0.161
F: 0.608 0.970 0.339
F: 0.392 0.030 0.661
F: 0.438 0.250 0.158
F: 0.562 0.750 0.842
F: 0.062 0.750 0.658
F: 0.938 0.250 0.342



5.
Below is Sc2TaSb at its PBEsol-relaxed geometry, with properties calculated at the meta-GGA SCAN level.

Results
* raw formation energy: -0.272 eV per atom
* uncorrected energy: -33.35 eV per atom
* mass density: 8.2 Mg/m³

Unit cell a=4.095 b=4.412 c=4.412 alpha=90.00 beta=90.00 gamma=90.00
Fractional coordinates of all 4 atoms:
Sb: 0.500 0.000 0.000
Sc: 0.000 0.000 0.500
Sc: 0.000 0.500 0.000
Ta: 0.500 0.500 0.500



6.
Below is LaTiGaSn2 at its PBEsol-relaxed geometry, with properties calculated at the meta-GGA SCAN level.

Results
* formation enthalpy at 0 K: 0.05 eV/atom
* uncorrected energy: -29.42 eV per atom
* mass density: 6.2 Mg/m³

Unit cell a=4.853 b=5.219 c=5.219 alpha=90.00 beta=90.00 gamma=90.00
Each line ends with the local moment (μB).
Fractional coordinates of all 5 atoms:
Ti: 0.500 0.000 0.000  1.31
Sn: 0.000 0.000 0.500  -0.04
Sn: 0.000 0.500 0.000  -0.04
Ga: 0.000 0.000 0.000  0.02
La: 0.500 0.500 0.500  0.13



7.
Below is HoCdIn at its PBEsol-relaxed geometry, with properties calculated at the meta-GGA SCAN level.

Results
* formation enthalpy at 0 K: -0.52 eV/atom
* uncorrected energy: -38.12 eV per atom
* mass density: 9.1 Mg/m³

Unit cell a=4.762 b=4.762 c=7.289 alpha=90.00 beta=90.00 gamma=120.00
Fractional coordinates of all 6 atoms:
In: 0.333 0.667 0.054
In: 0.667 0.333 0.946
Ho: 0.000 0.000 0.737
Ho: 0.000 0.000 0.263
Cd: 0.667 0.333 0.527
Cd: 0.333 0.667 0.473



8.
Below is TaOs3 at its PBEsol-relaxed geometry, with properties calculated at the meta-GGA SCAN level.

Results
* formation enthalpy at 0 K: -0.18 eV/atom
* uncorrected energy: -70.73 eV per atom
* mass density: 21.1 Mg/m³

Unit cell a=3.885 b=3.885 c=8.310 alpha=103.52 beta=103.52 gamma=90.00
Fractional coordinates of all 8 atoms:
Os: 0.500 0.000 0.000
Os: 0.000 0.500 0.000
Os: 0.250 0.750 0.500
Os: 0.750 0.250 0.500
Os: 0.873 0.873 0.746
Os: 0.127 0.127 0.254
Ta: 0.621 0.621 0.242
Ta: 0.379 0.379 0.758